[1]
Computed, not measured: K2ErTlBr6 after structural relaxation at the GGA-PBE level of DFT.

Unit cell a=8.4091 b=8.4091 c=8.4091 alpha=57.50 beta=57.50 gamma=57.50
With the nearest neighbours (Å) after each atom.
Element x y z (fractional)
K: 0.0000 0.0000 0.0000  6 Br 3.34-3.43
K: 0.4886 0.4886 0.4886  6 Br 3.28-3.41
Er: 0.7930 0.7930 0.7930  6 Br 2.78-2.81
Tl: 0.2832 0.2832 0.2832  6 Br 3.25-3.46
Br: 0.0283 0.4552 0.6789  1 Er 2.78
Br: 0.1384 0.8969 0.5905  1 Er 2.81
Br: 0.4552 0.6789 0.0283  1 Er 2.78
Br: 0.5905 0.1384 0.8969  1 Er 2.81
Br: 0.6789 0.0283 0.4552  1 Er 2.78
Br: 0.8969 0.5905 0.1384  1 Er 2.81

Summary:
E_form (uncorrected) = -16.4 eV per formula unit



[2]
Computed, not measured: YNpIn6 after structural relaxation at the GGA-PBE level of DFT.

Unit cell a=4.6330 b=4.6330 c=9.3039 alpha=90.00 beta=90.00 gamma=90.00
With the nearest neighbours (Å) after each atom.
Element x y z (fractional)
Y: 0.0000 0.0000 0.0000  12 In 3.28-3.29
Np: 0.0000 0.0000 0.5000  12 In 3.28
In: 0.0000 0.5000 0.2509  8 In 3.28-3.29, 2 Np 3.28, 2 Y 3.29
In: 0.0000 0.5000 0.7491  8 In 3.28-3.29, 2 Np 3.28, 2 Y 3.29
In: 0.5000 0.0000 0.2509  8 In 3.28-3.29, 2 Np 3.28, 2 Y 3.29
In: 0.5000 0.0000 0.7491  8 In 3.28-3.29, 2 Np 3.28, 2 Y 3.29
In: 0.5000 0.5000 0.0000  4 Y 3.28, 8 In 3.29
In: 0.5000 0.5000 0.5000  4 Np 3.28, 8 In 3.28

Summary:
formation enthalpy at 0 K = -1.75 eV/f.u.



[3]
Computed, not measured: Ac2Si4Ni5 after structural relaxation at the GGA-PBE level of DFT.

Unit cell a=8.2051 b=7.0170 c=5.8522 alpha=78.65 beta=56.98 gamma=44.37
With the nearest neighbours (Å) after each atom.
Element x y z (fractional)
Ac: 0.1416 0.1416 0.8584  10 Ni 3.24-3.44, 8 Si 3.29-3.48
Ac: 0.8584 0.8584 0.1416  10 Ni 3.24-3.44, 8 Si 3.29-3.48
Si: 0.2128 0.5340 0.4660  5 Ni 2.31-2.34
Si: 0.4660 0.7872 0.2128  5 Ni 2.31-2.34
Si: 0.5340 0.2128 0.7872  5 Ni 2.31-2.34
Si: 0.7872 0.4660 0.5340  5 Ni 2.31-2.34
Ni: 0.0000 0.0000 0.5000  4 Si 2.34
Ni: 0.2500 0.2500 0.2500  4 Si 2.32
Ni: 0.5000 0.5000 0.0000  4 Si 2.34
Ni: 0.5000 0.5000 0.5000  4 Si 2.31
Ni: 0.7500 0.7500 0.7500  4 Si 2.32

Summary:
E_form (uncorrected) = -6.6 eV per formula unit



[4]
Computed, not measured: Er2TmAg3 after structural relaxation at the GGA-PBE level of DFT.

Unit cell a=3.5801 b=3.5801 c=10.8974 alpha=90.00 beta=90.00 gamma=90.00
With the nearest neighbours (Å) after each atom.
Element x y z (fractional)
Er: 0.0000 0.0000 0.1673  8 Ag 3.12
Er: 0.0000 0.0000 0.8327  8 Ag 3.12
Tm: 0.0000 0.0000 0.5000  8 Ag 3.11
Ag: 0.5000 0.5000 0.0000  8 Er 3.12
Ag: 0.5000 0.5000 0.3350  4 Tm 3.11, 4 Er 3.12
Ag: 0.5000 0.5000 0.6650  4 Tm 3.11, 4 Er 3.12

Summary:
formation enthalpy at 0 K = -2.03 eV/f.u.



[5]
Computed, not measured: KPmBeF6 after structural relaxation at the GGA-PBE level of DFT.

Unit cell a=5.5025 b=5.5025 c=5.6454 alpha=90.00 beta=90.00 gamma=120.00
With the nearest neighbours (Å) after each atom.
Element x y z (fractional)
K: 0.0000 0.0000 0.0000  6 F 2.73
Pm: 0.6667 0.3333 0.5000  6 F 2.26
Be: 0.3333 0.6667 0.5000  6 F 1.81
F: 0.0614 0.4046 0.3138  1 Be 1.81
F: 0.0614 0.6568 0.6862  1 Be 1.81
F: 0.3432 0.4046 0.6862  1 Be 1.81
F: 0.3432 0.9386 0.3138  1 Be 1.81
F: 0.5954 0.6568 0.3138  1 Be 1.81
F: 0.5954 0.9386 0.6862  1 Be 1.81

Summary:
E_form (uncorrected) = -30.3 eV per formula unit



[6]
Computed, not measured: TaW2Cl after structural relaxation at the GGA-PBE level of DFT.

Unit cell a=3.7145 b=3.7145 c=4.9494 alpha=90.00 beta=90.00 gamma=90.00
With the nearest neighbours (Å) after each atom.
Element x y z (fractional)
Ta: 0.0000 0.0000 0.0000  4 Cl 2.63
W: 0.0000 0.5000 0.5000  4 W 2.63
W: 0.5000 0.0000 0.5000  4 W 2.63
Cl: 0.5000 0.5000 0.0000  4 Ta 2.63

Summary:
E_form (uncorrected) = 4.4 eV per formula unit



[7]
Computed, not measured: Rb2AlCoCl6 after structural relaxation at the GGA-PBE level of DFT.

Unit cell a=6.9776 b=6.9776 c=6.9776 alpha=119.97 beta=119.97 gamma=90.05
With the nearest neighbours (Å) after each atom.
Element x y z (fractional)
Rb: 0.2500 0.7500 0.5000  12 Cl 3.49
Rb: 0.7500 0.2500 0.5000  12 Cl 3.49
Al: 0.0000 0.0000 0.0000  6 Cl 2.37-2.38
Co: 0.5000 0.5000 0.0000  6 Cl 2.56
Cl: 0.2404 0.2404 0.4808  1 Al 2.37, 1 Co 2.56
Cl: 0.2404 0.7596 0.0000  1 Al 2.37, 1 Co 2.56
Cl: 0.2409 0.2409 0.0000  1 Al 2.38, 1 Co 2.56
Cl: 0.7591 0.7591 0.0000  1 Al 2.38, 1 Co 2.56
Cl: 0.7596 0.2404 0.0000  1 Al 2.37, 1 Co 2.56
Cl: 0.7596 0.7596 0.5192  1 Al 2.37, 1 Co 2.56

Summary:
E_form (uncorrected) = -13.3 eV per formula unit



[8]
Computed, not measured: Tl2Re2B after structural relaxation at the GGA-PBE level of DFT.

Unit cell a=5.1128 b=5.1128 c=5.1128 alpha=114.38 beta=114.38 gamma=100.05
With the nearest neighbours (Å) after each atom.
Element x y z (fractional)
Tl: 0.2500 0.7500 0.5000  4 Re 2.80
Tl: 0.7500 0.2500 0.5000  4 Re 2.80
Re: 0.1882 0.1882 0.0000  1 B 2.05
Re: 0.8118 0.8118 0.0000  1 B 2.05
B: 0.5000 0.5000 0.0000  2 Re 2.05

Summary:
formation enthalpy at 0 K = 6.83 eV/f.u.